(1)
{"formula": "HfSi2Tc2", "functional": "PBE", "state": "optimized geometry", "lattice": [[-2.102, 2.102, 4.695], [2.102, -2.102, 4.695], [2.102, 2.102, -4.695]], "species": ["Hf", "Si", "Si", "Tc", "Tc"], "fractional_positions": [[0.000, 0.000, 0.000], [0.250, 0.750, 0.500], [0.750, 0.250, 0.500], [0.378, 0.378, 0.000], [0.622, 0.622, 0.000]], "mass_density_g_cm3": 8.62}

(2)
{"formula": "HfSi2Tc2", "functional": "PBE", "state": "optimized geometry", "lattice": [[-2.023, 2.023, 4.905], [2.023, -2.023, 4.905], [2.023, 2.023, -4.905]], "species": ["Hf", "Si", "Si", "Tc", "Tc"], "fractional_positions": [[0.000, 0.000, 0.000], [0.382, 0.382, 0.000], [0.618, 0.618, 0.000], [0.250, 0.750, 0.500], [0.750, 0.250, 0.500]], "mass_density_g_cm3": 8.91}

Energetically preferred structure: (2) | next structure: +0.309 eV/atom